A plane-wave DFT calculation with GGA+U was carried out for a geometry-optimized ScCrAs2O8 structure.

Results
Space-group type = I-4m2
Calculated total energy = -83.514 eV/f.u.

a = 5.6653 Å, b = 5.6653 Å, c = 5.6653 Å
α = 107.62°, β = 107.62°, γ = 113.24°
Element x y z (fractional)
Sc 0.0000 0.0000 0.0000
Cr 0.2500 0.7500 0.5000
As 0.5000 0.5000 0.0000
As 0.7500 0.2500 0.5000
O 0.3102 0.1213 0.8112
O 0.3102 0.4990 0.1888
O 0.3763 0.0640 0.3123
O 0.5010 0.6898 0.8112
O 0.7517 0.0640 0.6877
O 0.8787 0.6898 0.1888
O 0.9360 0.2483 0.3123
O 0.9360 0.6237 0.6877